# Li2TaFe (GGA-PBE, optimized geometry)
# - Distance to the lowest polymorph of the same formula: 324 meV/atom
# - Total DFT energy (no corrections): -5.6521 eV/atom
# - ΔH_f (0 K): 384 meV per atom
data_Li2TaFe
_chemical_formula_sum 'Li6 Ta3 Fe3'
_space_group_name_H-M_alt 'R -3 m'
_space_group_IT_number 166
_space_group_name_Hall '-R 3 2"'
_cell_length_a 2.7183
_cell_length_b 2.7183
_cell_length_c 29.2366
_cell_angle_alpha 90.00
_cell_angle_beta 90.00
_cell_angle_gamma 120.00
loop_
_atom_site_label
_atom_site_type_symbol
_atom_site_fract_x
_atom_site_fract_y
_atom_site_fract_z
_atom_site_occupancy
Li1 Li 0.0000 0.0000 0.2447 1
Ta1 Ta 0.0000 0.0000 0.0000 1
Fe1 Fe 0.0000 0.0000 0.5000 1


# YAs2Cl (GGA-PBE, optimized geometry)
# - Distance to the lowest polymorph of the same formula: 25 meV/atom
# - Total DFT energy (no corrections): -5.3944 eV/atom
# - Energy relative to the elements, uncorrected: -0.992 eV per atom
data_YAs2Cl
_chemical_formula_sum 'Y1 As2 Cl1'
_space_group_name_H-M_alt 'P 1 m 1'
_space_group_IT_number 6
_space_group_name_Hall 'P -2y'
_cell_length_a 4.456
_cell_length_b 3.706
_cell_length_c 7.328
_cell_angle_alpha 90.00
_cell_angle_beta 93.57
_cell_angle_gamma 90.00
loop_
_atom_site_label
_atom_site_type_symbol
_atom_site_fract_x
_atom_site_fract_y
_atom_site_fract_z
_atom_site_occupancy
Y1 Y 0.000 0.000 0.000 1
As1 As 0.508 0.500 0.091 1
As2 As 0.547 0.000 0.313 1
Cl1 Cl 0.975 0.500 0.724 1


# Y2PuO6 (GGA-PBE, optimized geometry)
# - Distance to the lowest polymorph of the same formula: 3 meV/atom
# - Total DFT energy (no corrections): -9.4343 eV/atom
# - Energy relative to the elements, uncorrected: -3.100 eV per atom
data_Y2PuO6
_chemical_formula_sum 'Y4 Pu2 O12'
_space_group_name_H-M_alt 'I m m m'
_space_group_IT_number 71
_space_group_name_Hall '-I 2 2'
_cell_length_a 3.860
_cell_length_b 5.358
_cell_length_c 11.083
_cell_angle_alpha 90.00
_cell_angle_beta 90.00
_cell_angle_gamma 90.00
loop_
_atom_site_label
_atom_site_type_symbol
_atom_site_fract_x
_atom_site_fract_y
_atom_site_fract_z
_atom_site_occupancy
Y1 Y 0.000 0.000 0.166 1
Pu1 Pu 0.000 0.000 0.500 1
O1 O 0.000 0.242 0.344 1
O2 O 0.000 0.270 0.000 1


# Sm6GeSb3Se2 (GGA-PBE, optimized geometry)
# - Total DFT energy (no corrections): -5.7179 eV/atom
# - Energy relative to the elements, uncorrected: -1.362 eV per atom
data_Sm6GeSb3Se2
_chemical_formula_sum 'Sm12 Ge2 Sb6 Se4'
_space_group_name_H-M_alt 'C 1 2/m 1'
_space_group_IT_number 12
_space_group_name_Hall '-C 2y'
_cell_length_a 18.925
_cell_length_b 4.341
_cell_length_c 8.701
_cell_angle_alpha 90.00
_cell_angle_beta 103.38
_cell_angle_gamma 90.00
loop_
_atom_site_label
_atom_site_type_symbol
_atom_site_fract_x
_atom_site_fract_y
_atom_site_fract_z
_atom_site_occupancy
Sm1 Sm 0.002 0.000 0.238 1
Sm2 Sm 0.161 0.500 0.085 1
Sm3 Sm 0.168 0.500 0.579 1
Ge1 Ge 0.000 0.500 0.000 1
Sb1 Sb 0.000 0.500 0.500 1
Sb2 Sb 0.169 0.000 0.833 1
Se1 Se 0.167 0.000 0.335 1